No. 1
! PaNbFe2 PBE-GGA optimized geometry; values from VASP
&SYSTEM
  ibrav = 0, nat = 4, ntyp = 3
/
ATOMIC_SPECIES
Pa 231.04 Pa.upf
Nb 92.91 Nb.upf
Fe 55.84 Fe.upf
CELL_PARAMETERS angstrom
2.033 1.174 4.740
-2.033 1.174 4.740
0.000 -2.347 4.740
ATOMIC_POSITIONS crystal
Pa 0.000 0.000 0.000
Nb 0.500 0.500 0.500
Fe 0.223 0.223 0.223
Fe 0.777 0.777 0.777
! Total magnetic moment in μB per atom: 0.000
! Excess energy over the best structure of this formula in the dataset in meV per atom: 102.8
! E_form in meV/atom: 49

No. 2
! Pa2BeB PBE-GGA optimized geometry; values from VASP
&SYSTEM
  ibrav = 0, nat = 4, ntyp = 3
/
ATOMIC_SPECIES
Pa 231.04 Pa.upf
Be 9.01 Be.upf
B 10.81 B.upf
CELL_PARAMETERS angstrom
1.630 0.941 9.153
-1.630 0.941 9.153
0.000 -1.882 9.153
ATOMIC_POSITIONS crystal
Pa 0.109 0.109 0.109
Pa 0.891 0.891 0.891
Be 0.000 0.000 0.000
B 0.500 0.500 0.500
! Total magnetic moment in μB per atom: 0.000
! E_form in meV/atom: 683

No. 3
! Tl2InMo PBE-GGA optimized geometry; values from VASP
&SYSTEM
  ibrav = 0, nat = 4, ntyp = 3
/
ATOMIC_SPECIES
Tl 204.38 Tl.upf
In 114.82 In.upf
Mo 95.94 Mo.upf
CELL_PARAMETERS angstrom
1.802 -2.449 0.000
1.802 2.449 0.000
0.000 0.000 10.871
ATOMIC_POSITIONS crystal
Tl 0.000 0.000 0.218
Tl 0.000 0.000 0.782
In 0.500 0.500 0.500
Mo 0.500 0.500 0.000
! Total magnetic moment in μB per atom: 0.000
! Excess energy over the best structure of this formula in the dataset in meV per atom: 132.6
! E_form in meV/atom: 580

No. 4
! Ba2PdPb4Au3 PBE-GGA optimized geometry; values from VASP
&SYSTEM
  ibrav = 0, nat = 10, ntyp = 4
/
ATOMIC_SPECIES
Ba 137.33 Ba.upf
Pd 106.42 Pd.upf
Pb 207.20 Pb.upf
Au 196.97 Au.upf
CELL_PARAMETERS angstrom
4.953 0.000 0.000
0.000 4.953 0.000
0.000 0.000 11.776
ATOMIC_POSITIONS crystal
Ba 0.000 0.500 0.237
Ba 0.500 0.000 0.763
Pd 0.500 0.500 0.000
Pb 0.000 0.000 0.500
Pb 0.000 0.500 0.884
Pb 0.500 0.000 0.116
Pb 0.500 0.500 0.500
Au 0.000 0.000 0.000
Au 0.000 0.500 0.641
Au 0.500 0.000 0.359
! Total magnetic moment in μB per atom: 0.000
! E_form in meV/atom: -458

No. 5
! KB2WCl PBE-GGA optimized geometry; values from VASP
&SYSTEM
  ibrav = 0, nat = 5, ntyp = 4
/
ATOMIC_SPECIES
K 39.10 K.upf
B 10.81 B.upf
W 183.84 W.upf
Cl 35.45 Cl.upf
CELL_PARAMETERS angstrom
4.263 0.000 0.000
0.000 4.263 0.000
0.000 0.000 5.180
ATOMIC_POSITIONS crystal
K 0.000 0.000 0.000
B 0.000 0.500 0.500
B 0.500 0.000 0.500
W 0.500 0.500 0.500
Cl 0.500 0.500 0.000
! Total magnetic moment in μB per atom: 0.000
! Energy relative to the elements, uncorrected in kJ/mol of formula units: 252

No. 6
! NaSbTeI2 PBE-GGA optimized geometry; values from VASP
&SYSTEM
  ibrav = 0, nat = 5, ntyp = 4
/
ATOMIC_SPECIES
Na 22.99 Na.upf
Sb 121.76 Sb.upf
Te 127.60 Te.upf
I 126.90 I.upf
CELL_PARAMETERS angstrom
5.501 0.000 0.000
0.000 5.501 0.000
0.000 0.000 6.554
ATOMIC_POSITIONS crystal
Na 0.000 0.000 0.000
Sb 0.000 0.000 0.500
Te 0.500 0.500 0.500
I 0.000 0.500 0.000
I 0.500 0.000 0.000
! Total magnetic moment in μB per atom: 0.454
! Excess energy over the best structure of this formula in the dataset in meV per atom: 668.0
! Energy relative to the elements, uncorrected in kJ/mol of formula units: 181

No. 7
! KZn2Mo PBE-GGA optimized geometry; values from VASP
&SYSTEM
  ibrav = 0, nat = 4, ntyp = 3
/
ATOMIC_SPECIES
K 39.10 K.upf
Zn 65.41 Zn.upf
Mo 95.94 Mo.upf
CELL_PARAMETERS angstrom
-1.332 2.709 5.501
1.332 -2.709 5.501
1.332 2.709 -5.501
ATOMIC_POSITIONS crystal
K 0.000 0.000 0.000
Zn 0.501 0.501 0.000
Zn 0.724 0.224 0.500
Mo 0.291 0.791 0.500
! Total magnetic moment in μB per atom: 0.046
! Excess energy over the best structure of this formula in the dataset in meV per atom: 259.6
! E_form in meV/atom: 681

No. 8
! TePtC3 PBE-GGA optimized geometry; values from VASP
&SYSTEM
  ibrav = 0, nat = 5, ntyp = 3
/
ATOMIC_SPECIES
Te 127.60 Te.upf
Pt 195.08 Pt.upf
C 12.01 C.upf
CELL_PARAMETERS angstrom
4.122 0.000 0.000
0.000 4.122 0.000
0.000 0.000 4.122
ATOMIC_POSITIONS crystal
Te 0.000 0.000 0.000
Pt 0.500 0.500 0.500
C 0.000 0.000 0.500
C 0.000 0.500 0.000
C 0.500 0.000 0.000
! Total magnetic moment in μB per atom: 0.000
! Excess energy over the best structure of this formula in the dataset in meV per atom: 689.4
! Energy relative to the elements, uncorrected in kJ/mol of formula units: 1478

No. 9
! K3Li2ZnF9 PBE-GGA optimized geometry; values from VASP
&SYSTEM
  ibrav = 0, nat = 15, ntyp = 4
/
ATOMIC_SPECIES
K 39.10 K.upf
Li 6.94 Li.upf
Zn 65.41 Zn.upf
F 19.00 F.upf
CELL_PARAMETERS angstrom
5.716 0.000 0.000
-2.858 4.950 0.000
0.000 0.000 7.109
ATOMIC_POSITIONS crystal
K 0.000 0.000 0.000
K 0.333 0.667 0.675
K 0.667 0.333 0.325
Li 0.333 0.667 0.159
Li 0.667 0.333 0.841
Zn 0.000 0.000 0.500
F 0.000 0.500 0.000
F 0.162 0.325 0.340
F 0.162 0.838 0.340
F 0.325 0.162 0.660
F 0.500 0.000 0.000
F 0.500 0.500 0.000
F 0.675 0.838 0.340
F 0.838 0.162 0.660
F 0.838 0.675 0.660
! Total magnetic moment in μB per atom: 0.137
! Energy relative to the elements, uncorrected in kJ/mol of formula units: -3464

No. 10
! Co2PI2 PBE-GGA optimized geometry; values from VASP
&SYSTEM
  ibrav = 0, nat = 10, ntyp = 3
/
ATOMIC_SPECIES
Co 58.93 Co.upf
P 30.97 P.upf
I 126.90 I.upf
CELL_PARAMETERS angstrom
7.805 0.000 0.000
0.000 7.805 0.000
0.000 0.000 3.480
ATOMIC_POSITIONS crystal
Co 0.100 0.400 0.000
Co 0.400 0.900 0.000
Co 0.600 0.100 0.000
Co 0.900 0.600 0.000
P 0.000 0.000 0.500
P 0.500 0.500 0.500
I 0.183 0.683 0.500
I 0.317 0.183 0.500
I 0.683 0.817 0.500
I 0.817 0.317 0.500
! Total magnetic moment in μB per atom: 0.686
! Excess energy over the best structure of this formula in the dataset in meV per atom: 322.8
! Energy relative to the elements, uncorrected in kJ/mol of formula units: 521

No. 11
! AgSeO2 PBE-GGA optimized geometry; values from VASP
&SYSTEM
  ibrav = 0, nat = 8, ntyp = 3
/
ATOMIC_SPECIES
Ag 107.87 Ag.upf
Se 78.96 Se.upf
O 16.00 O.upf
CELL_PARAMETERS angstrom
-2.357 2.357 5.753
2.357 -2.357 5.753
2.357 2.357 -5.753
ATOMIC_POSITIONS crystal
Ag 0.000 0.000 0.000
Ag 0.750 0.250 0.500
Se 0.250 0.750 0.500
Se 0.500 0.500 0.000
O 0.192 0.625 0.067
O 0.375 0.442 0.567
O 0.558 0.125 0.933
O 0.875 0.808 0.433
! Total magnetic moment in μB per atom: 0.000
! Energy relative to the elements, uncorrected in kJ/mol of formula units: -2

No. 12
! LaAl2Ag6 PBE-GGA optimized geometry; values from VASP
&SYSTEM
  ibrav = 0, nat = 18, ntyp = 3
/
ATOMIC_SPECIES
La 138.91 La.upf
Al 26.98 Al.upf
Ag 107.87 Ag.upf
CELL_PARAMETERS angstrom
0.000 5.981 5.981
5.981 0.000 5.981
5.981 5.981 0.000
ATOMIC_POSITIONS crystal
La 0.125 0.125 0.125
La 0.875 0.875 0.875
Al 0.000 0.500 0.500
Al 0.500 0.000 0.500
Al 0.500 0.500 0.000
Al 0.500 0.500 0.500
Ag 0.131 0.131 0.619
Ag 0.131 0.619 0.131
Ag 0.131 0.619 0.619
Ag 0.381 0.381 0.869
Ag 0.381 0.869 0.381
Ag 0.381 0.869 0.869
Ag 0.619 0.131 0.131
Ag 0.619 0.131 0.619
Ag 0.619 0.619 0.131
Ag 0.869 0.381 0.381
Ag 0.869 0.381 0.869
Ag 0.869 0.869 0.381
! Total magnetic moment in μB per atom: 0.000
! Excess energy over the best structure of this formula in the dataset in meV per atom: 395.6
! E_form in meV/atom: 212